1.
The following is a DFT calculation (SCAN) of a PBEsol-optimized structure of LiHg2Rh.

Results
For the total magnetization, the calculation gives 0.0 μB/cell. As for the total energy: -1.59081 hartree per atom. The density of states at the Fermi level is 1.18 states/eV per cell. Its calculated formation energy is -164.9 meV/atom.

a b c (Å): 3.174 3.174 6.516
angles (deg): 90.00 90.00 90.00
Sites, in units of the cell vectors:
Li (0.000, 0.000, 0.000)
Hg (0.500, 0.500, 0.243)
Hg (0.500, 0.500, 0.757)
Rh (0.000, 0.000, 0.500)



2.
The following is a DFT calculation (SCAN) of a PBEsol-optimized structure of CsBaP.

Results
For the total magnetization, the calculation gives 0.0 μB/cell. As for the total energy: -1.10625 hartree per atom. The density of states at the Fermi level is 0.00 states/eV per cell. Its calculated formation energy is -849.4 meV/atom.

a b c (Å): 9.130 5.382 9.139
angles (deg): 90.00 90.00 90.00
Sites, in units of the cell vectors:
Cs (0.018, 0.250, 0.166)
Cs (0.482, 0.750, 0.666)
Cs (0.518, 0.250, 0.334)
Cs (0.982, 0.750, 0.834)
Ba (0.153, 0.250, 0.585)
Ba (0.347, 0.750, 0.085)
Ba (0.653, 0.250, 0.915)
Ba (0.847, 0.750, 0.415)
P (0.194, 0.750, 0.397)
P (0.306, 0.250, 0.897)
P (0.694, 0.750, 0.103)
P (0.806, 0.250, 0.603)



3.
The following is a DFT calculation (SCAN) of a PBEsol-optimized structure of NaSeBr2.

Results
The value obtained for the uncorrected formation energy is -0.3426 eV/atom. For the total magnetization, the calculation gives 3.0 μB/cell. As for the total energy: -0.59334 hartree per atom. The density of states at the Fermi level is 2.21 states/eV per cell.

a b c (Å): 5.236 5.236 5.236
angles (deg): 60.00 60.00 60.00
Sites, in units of the cell vectors:
Na (0.000, 0.000, 0.000)
Se (0.500, 0.500, 0.500)
Br (0.250, 0.250, 0.250)
Br (0.750, 0.750, 0.750)



4.
The following is a DFT calculation (SCAN) of a PBEsol-optimized structure of Ir3Os.

Results
For the total magnetization, the calculation gives 0.0 μB/cell. As for the total energy: -2.61958 hartree per atom. The density of states at the Fermi level is 3.00 states/eV per cell. Its calculated formation energy is 12.0 meV/atom.

a b c (Å): 2.704 3.830 5.414
angles (deg): 90.00 90.00 90.00
Sites, in units of the cell vectors:
Ir (0.000, 0.000, 0.000)
Ir (0.500, 0.500, 0.253)
Ir (0.500, 0.500, 0.747)
Os (0.000, 0.000, 0.500)



5.
The following is a DFT calculation (SCAN) of a PBEsol-optimized structure of SbTeIr2.

Results
The value obtained for the uncorrected formation energy is 0.2602 eV/atom. For the total magnetization, the calculation gives 0.5 μB/cell. As for the total energy: -1.98142 hartree per atom. The density of states at the Fermi level is 2.23 states/eV per cell. The offset from the most stable computed form comes out at 219 meV per atom.

a b c (Å): 3.224 3.224 7.865
angles (deg): 90.00 90.00 90.00
Sites, in units of the cell vectors:
Sb (0.000, 0.000, 0.000)
Te (0.500, 0.500, 0.408)
Ir (0.000, 0.000, 0.580)
Ir (0.500, 0.500, 0.816)



6.
The following is a DFT calculation (SCAN) of a PBEsol-optimized structure of Cr4Mo3.

Results
For the total magnetization, the calculation gives 0.0 μB/cell. As for the total energy: -0.93185 hartree per atom. The density of states at the Fermi level is 4.41 states/eV per cell. Its calculated formation energy is 99.5 meV/atom.

a b c (Å): 10.589 10.589 10.589
angles (deg): 163.93 163.93 22.80
Sites, in units of the cell vectors:
Cr (0.072, 0.072, 0.000)
Cr (0.362, 0.362, 0.000)
Cr (0.638, 0.638, 0.000)
Cr (0.928, 0.928, 0.000)
Mo (0.210, 0.210, 0.000)
Mo (0.500, 0.500, 0.000)
Mo (0.790, 0.790, 0.000)



7.
The following is a DFT calculation (SCAN) of a PBEsol-optimized structure of KS3F.

Results
The value obtained for the uncorrected formation energy is 0.9685 eV/atom. For the total magnetization, the calculation gives 6.0 μB/cell. As for the total energy: -0.26394 hartree per atom. The density of states at the Fermi level is 10.40 states/eV per cell.

a b c (Å): 6.077 6.077 6.077
angles (deg): 90.00 90.00 90.00
Sites, in units of the cell vectors:
K (0.000, 0.000, 0.000)
S (0.000, 0.000, 0.500)
S (0.000, 0.500, 0.000)
S (0.500, 0.000, 0.000)
F (0.500, 0.500, 0.500)



8.
The following is a DFT calculation (SCAN) of a PBEsol-optimized structure of MnCoPt2.

Results
For the total magnetization, the calculation gives 6.8 μB/cell. As for the total energy: -1.63297 hartree per atom. The density of states at the Fermi level is 2.09 states/eV per cell. Its calculated formation energy is -448.9 meV/atom.

a b c (Å): 2.713 2.713 7.366
angles (deg): 90.00 90.00 90.00
Sites, in units of the cell vectors:
Mn (0.000, 0.000, 0.000)
Co (0.000, 0.000, 0.500)
Pt (0.500, 0.500, 0.258)
Pt (0.500, 0.500, 0.742)



9.
The following is a DFT calculation (SCAN) of a PBEsol-optimized structure of KCoPt.

Results
For the total magnetization, the calculation gives 2.1 μB/cell. As for the total energy: -1.16995 hartree per atom. The density of states at the Fermi level is 1.43 states/eV per cell. Its calculated formation energy is 106.0 meV/atom.

a b c (Å): 6.154 6.154 6.154
angles (deg): 154.71 142.02 46.19
Sites, in units of the cell vectors:
K (0.000, 0.000, 0.000)
Co (0.732, 0.732, 0.000)
Pt (0.277, 0.277, 0.000)



10.
The following is a DFT calculation (SCAN) of a PBEsol-optimized structure of Cs2CuMoSe.

Results
The value obtained for the uncorrected formation energy is 0.8121 eV/atom. For the total magnetization, the calculation gives 5.7 μB/cell. As for the total energy: -1.04165 hartree per atom. The density of states at the Fermi level is 1.15 states/eV per cell.

a b c (Å): 6.529 6.529 4.770
angles (deg): 90.00 90.00 90.00
Sites, in units of the cell vectors:
Cs (0.000, 0.500, 0.000)
Cs (0.500, 0.000, 0.000)
Cu (0.000, 0.000, 0.500)
Mo (0.000, 0.000, 0.000)
Se (0.500, 0.500, 0.500)



11.
The following is a DFT calculation (SCAN) of a PBEsol-optimized structure of LaY.

Results
For the total magnetization, the calculation gives 0.0 μB/cell. As for the total energy: -1.30175 hartree per atom. The density of states at the Fermi level is 4.81 states/eV per cell. Its calculated formation energy is 51.5 meV/atom. The offset from the most stable computed form comes out at 37 meV per atom.

a b c (Å): 3.590 3.590 11.652
angles (deg): 90.00 90.00 120.00
Sites, in units of the cell vectors:
La (0.333, 0.667, 0.250)
La (0.667, 0.333, 0.750)
Y (0.000, 0.000, 0.000)
Y (0.000, 0.000, 0.500)



12.
The following is a DFT calculation (SCAN) of a PBEsol-optimized structure of NbSNCl6.

Results
The value obtained for the uncorrected formation energy is -0.8287 eV/atom. For the total magnetization, the calculation gives 0.0 μB/cell. As for the total energy: -0.43844 hartree per atom. The density of states at the Fermi level is 0.00 states/eV per cell.

a b c (Å): 6.426 11.992 12.930
angles (deg): 81.20 77.66 82.17
Sites, in units of the cell vectors:
Nb (0.047, 0.024, 0.227)
Nb (0.127, 0.464, 0.719)
Nb (0.873, 0.536, 0.281)
Nb (0.953, 0.976, 0.773)
S (0.089, 0.296, 0.516)
S (0.440, 0.223, 0.185)
S (0.560, 0.777, 0.815)
S (0.911, 0.704, 0.484)
N (0.078, 0.369, 0.598)
N (0.301, 0.132, 0.216)
N (0.699, 0.868, 0.784)
N (0.922, 0.631, 0.402)
Cl (0.069, 0.849, 0.914)
Cl (0.099, 0.659, 0.171)
Cl (0.120, 0.843, 0.657)
Cl (0.160, 0.573, 0.845)
Cl (0.167, 0.908, 0.371)
Cl (0.207, 0.416, 0.315)
Cl (0.230, 0.081, 0.763)
Cl (0.296, 0.575, 0.568)
Cl (0.314, 0.935, 0.107)
Cl (0.377, 0.186, 0.491)
Cl (0.406, 0.326, 0.042)
Cl (0.434, 0.345, 0.732)
Cl (0.566, 0.655, 0.268)
Cl (0.594, 0.674, 0.958)
Cl (0.623, 0.814, 0.509)
Cl (0.686, 0.065, 0.893)
Cl (0.704, 0.425, 0.432)
Cl (0.770, 0.919, 0.237)
Cl (0.793, 0.584, 0.685)
Cl (0.833, 0.092, 0.629)
Cl (0.840, 0.427, 0.155)
Cl (0.880, 0.157, 0.343)
Cl (0.901, 0.341, 0.829)
Cl (0.931, 0.151, 0.086)



13.
The following is a DFT calculation (SCAN) of a PBEsol-optimized structure of Mg2Be3Tl2F12.

Results
The value obtained for the uncorrected formation energy is -3.2736 eV/atom. For the total magnetization, the calculation gives 0.0 μB/cell. As for the total energy: -0.52688 hartree per atom. The density of states at the Fermi level is 0.00 states/eV per cell.

a b c (Å): 9.966 9.966 9.966
angles (deg): 90.00 90.00 90.00
Sites, in units of the cell vectors:
Mg (0.104, 0.104, 0.104)
Mg (0.165, 0.335, 0.665)
Mg (0.335, 0.665, 0.165)
Mg (0.396, 0.896, 0.604)
Mg (0.604, 0.396, 0.896)
Mg (0.665, 0.165, 0.335)
Mg (0.835, 0.835, 0.835)
Mg (0.896, 0.604, 0.396)
Be (0.021, 0.792, 0.124)
Be (0.124, 0.021, 0.792)
Be (0.208, 0.624, 0.479)
Be (0.292, 0.376, 0.979)
Be (0.376, 0.979, 0.292)
Be (0.479, 0.208, 0.624)
Be (0.521, 0.708, 0.876)
Be (0.624, 0.479, 0.208)
Be (0.708, 0.876, 0.521)
Be (0.792, 0.124, 0.021)
Be (0.876, 0.521, 0.708)
Be (0.979, 0.292, 0.376)
Tl (0.045, 0.955, 0.455)
Tl (0.182, 0.682, 0.818)
Tl (0.318, 0.318, 0.318)
Tl (0.455, 0.045, 0.955)
Tl (0.545, 0.545, 0.545)
Tl (0.682, 0.818, 0.182)
Tl (0.818, 0.182, 0.682)
Tl (0.955, 0.455, 0.045)
F (0.007, 0.439, 0.728)
F (0.014, 0.940, 0.173)
F (0.049, 0.201, 0.269)
F (0.060, 0.673, 0.486)
F (0.061, 0.272, 0.507)
F (0.100, 0.168, 0.749)
F (0.168, 0.749, 0.100)
F (0.173, 0.014, 0.940)
F (0.201, 0.269, 0.049)
F (0.228, 0.493, 0.561)
F (0.231, 0.951, 0.701)
F (0.249, 0.400, 0.832)
F (0.251, 0.600, 0.332)
F (0.269, 0.049, 0.201)
F (0.272, 0.507, 0.061)
F (0.299, 0.731, 0.549)
F (0.327, 0.986, 0.440)
F (0.332, 0.251, 0.600)
F (0.400, 0.832, 0.249)
F (0.439, 0.728, 0.007)
F (0.440, 0.327, 0.986)
F (0.451, 0.799, 0.769)
F (0.486, 0.060, 0.673)
F (0.493, 0.561, 0.228)
F (0.507, 0.061, 0.272)
F (0.514, 0.560, 0.827)
F (0.549, 0.299, 0.731)
F (0.560, 0.827, 0.514)
F (0.561, 0.228, 0.493)
F (0.600, 0.332, 0.251)
F (0.668, 0.751, 0.900)
F (0.673, 0.486, 0.060)
F (0.701, 0.231, 0.951)
F (0.728, 0.007, 0.439)
F (0.731, 0.549, 0.299)
F (0.749, 0.100, 0.168)
F (0.751, 0.900, 0.668)
F (0.769, 0.451, 0.799)
F (0.772, 0.993, 0.939)
F (0.799, 0.769, 0.451)
F (0.827, 0.514, 0.560)
F (0.832, 0.249, 0.400)
F (0.900, 0.668, 0.751)
F (0.939, 0.772, 0.993)
F (0.940, 0.173, 0.014)
F (0.951, 0.701, 0.231)
F (0.986, 0.440, 0.327)
F (0.993, 0.939, 0.772)



14.
The following is a DFT calculation (SCAN) of a PBEsol-optimized structure of KAuSe2.

Results
The value obtained for the uncorrected formation energy is -0.6769 eV/atom. For the total magnetization, the calculation gives 0.0 μB/cell. As for the total energy: -1.10570 hartree per atom. The density of states at the Fermi level is 0.42 states/eV per cell.

a b c (Å): 6.113 6.113 5.387
angles (deg): 90.31 90.31 36.38
Sites, in units of the cell vectors:
K (0.000, 0.000, 0.000)
Au (0.205, 0.205, 0.500)
Se (0.564, 0.564, 0.501)
Se (0.842, 0.842, 0.498)



15.
The following is a DFT calculation (SCAN) of a PBEsol-optimized structure of CeSiPt2.

Results
The value obtained for the uncorrected formation energy is -1.1960 eV/atom. For the total magnetization, the calculation gives 0.8 μB/cell. As for the total energy: -1.83517 hartree per atom. The density of states at the Fermi level is 6.39 states/eV per cell.

a b c (Å): 5.463 5.463 6.862
angles (deg): 90.00 90.00 136.60
Sites, in units of the cell vectors:
Ce (0.061, 0.939, 0.750)
Ce (0.939, 0.061, 0.250)
Si (0.223, 0.777, 0.250)
Si (0.777, 0.223, 0.750)
Pt (0.358, 0.642, 0.549)
Pt (0.358, 0.642, 0.951)
Pt (0.642, 0.358, 0.049)
Pt (0.642, 0.358, 0.451)



16.
The following is a DFT calculation (SCAN) of a PBEsol-optimized structure of SbAsO4.

Results
The value obtained for the uncorrected formation energy is -1.3552 eV/atom. For the total magnetization, the calculation gives 0.0 μB/cell. As for the total energy: -0.55435 hartree per atom. The density of states at the Fermi level is 0.00 states/eV per cell.

a b c (Å): 4.772 7.023 5.344
angles (deg): 90.00 96.82 90.00
Sites, in units of the cell vectors:
Sb (0.178, 0.250, 0.167)
Sb (0.822, 0.750, 0.833)
As (0.288, 0.750, 0.392)
As (0.712, 0.250, 0.608)
O (0.172, 0.562, 0.209)
O (0.172, 0.938, 0.209)
O (0.202, 0.750, 0.698)
O (0.348, 0.250, 0.545)
O (0.652, 0.750, 0.455)
O (0.798, 0.250, 0.302)
O (0.828, 0.062, 0.791)
O (0.828, 0.438, 0.791)



17.
The following is a DFT calculation (SCAN) of a PBEsol-optimized structure of ZrNiIN2.

Results
The value obtained for the uncorrected formation energy is 1.0778 eV/atom. For the total magnetization, the calculation gives 0.7 μB/cell. As for the total energy: -0.71152 hartree per atom. The density of states at the Fermi level is 2.83 states/eV per cell. The offset from the most stable computed form comes out at 555 meV per atom.

a b c (Å): 3.961 3.961 4.640
angles (deg): 90.00 90.00 90.00
Sites, in units of the cell vectors:
Zr (0.000, 0.000, 0.000)
Ni (0.500, 0.500, 0.500)
I (0.500, 0.500, 0.000)
N (0.000, 0.500, 0.500)
N (0.500, 0.000, 0.500)



18.
The following is a DFT calculation (SCAN) of a PBEsol-optimized structure of ZrPb2CCl.

Results
The value obtained for the uncorrected formation energy is 0.4042 eV/atom. For the total magnetization, the calculation gives 0.0 μB/cell. As for the total energy: -1.45761 hartree per atom. The density of states at the Fermi level is 2.41 states/eV per cell.

a b c (Å): 5.201 5.201 4.349
angles (deg): 90.00 90.00 90.00
Sites, in units of the cell vectors:
Zr (0.000, 0.000, 0.000)
Pb (0.000, 0.500, 0.500)
Pb (0.500, 0.000, 0.500)
C (0.000, 0.000, 0.500)
Cl (0.500, 0.500, 0.000)



19.
The following is a DFT calculation (SCAN) of a PBEsol-optimized structure of CeZnAgP2.

Results
For the total magnetization, the calculation gives 1.0 μB/cell. As for the total energy: -0.83704 hartree per atom. The density of states at the Fermi level is 4.83 states/eV per cell. Its calculated formation energy is -728.4 meV/atom.

a b c (Å): 4.086 4.086 6.644
angles (deg): 90.00 90.00 120.00
Sites, in units of the cell vectors:
Ce (0.000, 0.000, 0.000)
Zn (0.667, 0.333, 0.376)
Ag (0.333, 0.667, 0.642)
P (0.333, 0.667, 0.256)
P (0.667, 0.333, 0.759)



20.
The following is a DFT calculation (SCAN) of a PBEsol-optimized structure of LaMn2Fe.

Results
For the total magnetization, the calculation gives 9.3 μB/cell. As for the total energy: -0.88923 hartree per atom. The density of states at the Fermi level is 2.38 states/eV per cell. Its calculated formation energy is 239.1 meV/atom. The offset from the most stable computed form comes out at 0 meV per atom.

a b c (Å): 5.390 5.390 5.390
angles (deg): 144.71 131.32 61.54
Sites, in units of the cell vectors:
La (0.000, 0.000, 0.000)
Mn (0.278, 0.778, 0.500)
Mn (0.722, 0.222, 0.500)
Fe (0.500, 0.500, 0.000)